[1]
A relaxed structure of BaLiCa. Source: the Alexandria database, functional PBE.

Calculated values
Uncorrected energy in eV per atom: -1.902
M_tot in μB/cell: 0.00
Crystal system: monoclinic
DFT formation energy in eV per atom: 0.04
Symmetry: C2/m

abc: 13.9943 4.0445 9.4457
angles: 90.00 110.56 90.00
Sites, in units of the cell vectors:
Ba 0.1616 0.0000 0.1252
Ba 0.3384 0.5000 0.8748
Ba 0.6616 0.5000 0.1252
Ba 0.8384 0.0000 0.8748
Li 0.1740 0.0000 0.5293
Li 0.3260 0.5000 0.4707
Li 0.6740 0.5000 0.5293
Li 0.8260 0.0000 0.4707
Ca 0.0324 0.5000 0.7048
Ca 0.4676 0.0000 0.2952
Ca 0.5324 0.0000 0.7048
Ca 0.9676 0.5000 0.2952

***

[2]
A relaxed structure of PmPdAu3. Source: the Alexandria database, functional PBE.

Calculated values
Uncorrected energy in eV per atom: -4.210
M_tot in μB/cell: 0.00
Crystal system: tetragonal
DFT formation energy in eV per atom: -0.25
Symmetry: I-4m2

abc: 10.0114 10.0114 10.0114
angles: 149.49 149.49 43.69
Sites, in units of the cell vectors:
Pm 0.1721 0.1721 0.0000
Pm 0.8279 0.8279 0.0000
Pd 0.2500 0.7500 0.5000
Pd 0.5000 0.5000 0.0000
Au 0.3760 0.1280 0.7520
Au 0.3760 0.6240 0.2480
Au 0.3760 0.6240 0.7520
Au 0.5780 0.0780 0.5000
Au 0.8720 0.6240 0.2480
Au 0.9220 0.4220 0.5000

***

[3]
A relaxed structure of YTi2BSe. Source: the Alexandria database, functional PBE.

Calculated values
Uncorrected energy in eV per atom: -5.952
M_tot in μB/cell: 0.92
Crystal system: tetragonal
Symmetry: P4/mmm

abc: 4.7193 4.7193 4.4686
angles: 90.00 90.00 90.00
Sites, in units of the cell vectors:
Y 0.0000 0.0000 0.0000
Ti 0.0000 0.5000 0.5000
Ti 0.5000 0.0000 0.5000
B 0.5000 0.5000 0.0000
Se 0.5000 0.5000 0.5000

***

[4]
A relaxed structure of MnPCS. Source: the Alexandria database, functional PBE.

Calculated values
Uncorrected energy in eV per atom: -6.640
M_tot in μB/cell: 0.00
Crystal system: triclinic
Symmetry: P1

abc: 2.9678 4.0782 4.6516
angles: 87.25 85.44 72.55
Sites, in units of the cell vectors:
Mn 0.0000 0.0000 0.0000
P 0.1312 0.9353 0.5208
C 0.7280 0.7604 0.3676
S 0.6938 0.5753 0.0391

***

[5]
A relaxed structure of ScZn2Ir. Source: the Alexandria database, functional PBE.

Calculated values
Uncorrected energy in eV per atom: -4.590
M_tot in μB/cell: 0.00
Crystal system: trigonal
DFT formation energy in eV per atom: -0.15
Symmetry: R3m

abc: 3.0677 3.0677 24.9646
angles: 90.00 90.00 120.00
Sites, in units of the cell vectors:
Sc 0.0000 0.0000 0.0000
Sc 0.3333 0.6667 0.6667
Sc 0.6667 0.3333 0.3333
Zn 0.0000 0.0000 0.5059
Zn 0.0000 0.0000 0.7587
Zn 0.3333 0.6667 0.1726
Zn 0.3333 0.6667 0.4254
Zn 0.6667 0.3333 0.0920
Zn 0.6667 0.3333 0.8393
Ir 0.0000 0.0000 0.2534
Ir 0.3333 0.6667 0.9201
Ir 0.6667 0.3333 0.5867

***

[6]
A relaxed structure of CePrPa2N4. Source: the Alexandria database, functional PBE.

Calculated values
Uncorrected energy in eV per atom: -9.452
M_tot in μB/cell: 0.04
Crystal system: monoclinic
Symmetry: P2/m

abc: 6.1651 3.5682 6.1846
angles: 90.00 109.58 90.00
Sites, in units of the cell vectors:
Ce 0.0000 0.0000 0.0000
Pr 0.0000 0.5000 0.5000
Pa 0.5000 0.0000 0.5000
Pa 0.5000 0.5000 0.0000
N 0.2829 0.5000 0.2579
N 0.2881 0.0000 0.7657
N 0.7119 0.0000 0.2343
N 0.7171 0.5000 0.7421